Density functional theory data (PBE) for a relaxed structure of Ti4NbRh7.

Cell: 4.6260 7.7513 6.2494 Å, 79.96 68.28 72.64°
With the nearest neighbours (Å) after each atom.
Sites, in units of the cell vectors:
Ti: 0.5905 0.2136 0.6055  5 Rh 2.41-2.69
Ti: 0.4095 0.7864 0.3945  5 Rh 2.41-2.69
Ti: 0.7191 0.6532 0.9085  6 Rh 2.49-2.66
Ti: 0.2809 0.3468 0.0915  6 Rh 2.49-2.66
Nb: 0.0000 0.0000 0.0000  4 Rh 2.31-2.57
Rh: 0.7808 0.8744 0.5640  4 Ti 2.49-2.61, 2 Rh 2.75-2.76
Rh: 0.2192 0.1256 0.4360  4 Ti 2.49-2.61, 2 Rh 2.75-2.76
Rh: 0.0717 0.6730 0.1837  3 Ti 2.51-2.77, 1 Nb 2.57, 1 Rh 2.75
Rh: 0.9283 0.3270 0.8163  3 Ti 2.51-2.77, 1 Nb 2.57, 1 Rh 2.75
Rh: 0.3565 0.5655 0.7216  4 Ti 2.41-2.66
Rh: 0.5000 0.0000 0.0000  2 Nb 2.31
Rh: 0.6435 0.4345 0.2784  4 Ti 2.41-2.66

Output
- space group = C2/m, No. 12
- DFT formation energy (eV per atom) = -0.32
- uncorrected energy (eV/atom) = -8.0810